This record from Alexandria via LeMat-Bulk describes crystalline Li2ZnH at its relaxed geometry. The functional is PBE-GGA.

```
Li2ZnH
1.0
3.801 0.000 0.000
0.000 13.203 0.000
-1.891 0.000 1.908
Li Zn H
4 2 2
Cartesian
0.000 0.000 0.000
0.000 4.277 0.000
1.901 6.601 0.000
1.901 10.878 0.000
0.000 8.551 0.000
1.901 1.950 0.000
0.000 11.335 0.000
1.901 4.734 0.000
```

Properties
energy above the most stable polymorph in this dataset	53.2	meV/atom
uncorrected energy	-18.402	eV per cell

This record from Alexandria via LeMat-Bulk describes crystalline SrGa4Ag8 at its relaxed geometry. The functional is PBE-GGA.

```
SrGa4Ag8
1.0
-4.786 4.786 2.673
4.786 -4.786 2.673
4.786 4.786 -2.673
Sr Ga Ag
1 4 8
Cartesian
0.000 0.000 0.000
2.393 2.393 -1.337
2.393 -2.393 1.337
-2.393 2.393 1.337
2.393 2.393 1.337
3.360 0.000 0.000
6.213 0.000 0.000
4.786 2.684 0.000
0.000 3.360 0.000
2.684 4.786 0.000
2.102 0.000 2.673
0.000 6.213 0.000
0.000 2.102 2.673
```

Properties
energy of formation from the pure elements	-129	meV per atom
uncorrected energy	-38.273	eV per cell

Which of these has the lowest uncorrected energy?
SrGa4Ag8

The highest uncorrected energy belongs to which entry?
Li2ZnH

Which of these has the highest uncorrected energy?
Li2ZnH

Repeat the first record exactly.
This record from Alexandria via LeMat-Bulk describes crystalline Li2ZnH at its relaxed geometry. The functional is PBE-GGA.

```
Li2ZnH
1.0
3.801 0.000 0.000
0.000 13.203 0.000
-1.891 0.000 1.908
Li Zn H
4 2 2
Cartesian
0.000 0.000 0.000
0.000 4.277 0.000
1.901 6.601 0.000
1.901 10.878 0.000
0.000 8.551 0.000
1.901 1.950 0.000
0.000 11.335 0.000
1.901 4.734 0.000
```

Properties
energy above the most stable polymorph in this dataset	53.2	meV/atom
uncorrected energy	-18.402	eV per cell